Entry 1:
Compound: NaPr2Sn2Hg2
Source: Alexandria via LeMat-Bulk
Functional: PBE
Structure: relaxed

Cell: 5.1006 5.1006 28.6414 Å, 90.00 90.00 120.00°
Space group R-3m (No. 166, hexagonal axes)
Symmetry-distinct sites (fractional):
Na1 0.0000 0.0000 0.0000
Pr1 0.0000 0.0000 0.1286
Sn1 0.0000 0.0000 0.2591
Hg1 0.0000 0.0000 0.4176


Entry 2:
Compound: NaTb2PrHg4
Source: Alexandria via LeMat-Bulk
Functional: PBE
Structure: relaxed

Cell: 5.2459 5.2459 26.5400 Å, 90.00 90.00 120.00°
Space group R-3m (No. 166, hexagonal axes)
Symmetry-distinct sites (fractional):
Na1 0.0000 0.0000 0.0000
Tb1 0.0000 0.0000 0.2555
Pr1 0.0000 0.0000 0.5000
Hg1 0.0000 0.0000 0.1206
Hg2 0.0000 0.0000 0.3741


Entry 3:
Compound: NaPr2TlHg4
Source: Alexandria via LeMat-Bulk
Functional: PBE
Structure: relaxed

Cell: 5.3030 5.3030 26.0042 Å, 90.00 90.00 120.00°
Space group R-3m (No. 166, hexagonal axes)
Symmetry-distinct sites (fractional):
Na1 0.0000 0.0000 0.0000
Pr1 0.0000 0.0000 0.2460
Tl1 0.0000 0.0000 0.5000
Hg1 0.0000 0.0000 0.1192
Hg2 0.0000 0.0000 0.3689


| no. | ΔE_f (eV per formula unit) | spin magnetization (μB/cell) |
| --- | --- | --- |
| 1 | -1.770 | 0.00 |
| 2 | -3.240 | 0.00 |
| 3 | -3.024 | 0.00 |